1.
4
Lattice="5.006 0.018 0.000 -0.021 5.006 0.000 0.000 0.000 3.407" Properties=species:S:1:pos:R:3 comment="MgNiTe2 | the Alexandria database | PBE | relaxed" formation_energy_uncorrected_ev_per_atom=0.069 sg="No. 123" rho_g_cm3=6.6 pbc="T T T"
Ni -0.011 2.503 1.704
Mg 2.503 0.009 1.704
Te 0.000 0.000 0.000
Te 2.492 2.512 0.000

---

2.
5
Lattice="-2.910 1.190 3.407 1.729 -3.383 2.657 3.168 2.939 1.680" Properties=species:S:1:pos:R:3 comment="MgNi3Te | the Alexandria database | PBE | relaxed" formation_energy_uncorrected_ev_per_atom=0.472 sg="No. 221" rho_g_cm3=5.5 pbc="T T T"
Ni 0.864 -1.691 1.329
Ni 1.584 1.469 0.840
Ni -1.455 0.595 1.704
Te 0.000 0.000 0.000
Mg 0.993 0.373 3.872

---

3.
4
Lattice="-1.579 -0.400 3.292 1.102 -3.469 0.107 6.373 2.128 3.314" Properties=species:S:1:pos:R:3 comment="MgNiTe2 | the Alexandria database | PBE | relaxed" formation_energy_uncorrected_ev_per_atom=-0.218 sg="No. 25" rho_g_cm3=5.6 pbc="T T T"
Te 5.614 1.875 2.920
Te 2.094 -1.155 2.913
Mg 3.297 1.101 1.715
Ni 4.450 -0.369 4.138

---

4.
4
Lattice="3.950 0.002 -0.001 1.977 3.419 -0.001 1.963 1.134 6.690" Properties=species:S:1:pos:R:3 comment="MgNiTe2 | the Alexandria database | PBE | relaxed" formation_energy_uncorrected_ev_per_atom=-0.305 sg="No. 12" rho_g_cm3=6.2 pbc="T T T"
Te 3.944 2.277 3.083
Te 5.927 3.422 0.259
Ni 1.972 1.139 1.672
Mg 5.917 3.416 5.017

---

5.
8
Lattice="6.114 0.000 0.000 0.000 6.114 0.000 3.057 3.057 6.266" Properties=species:S:1:pos:R:3 comment="Mg2NiTe | the Alexandria database | PBE | relaxed" formation_energy_uncorrected_ev_per_atom=0.161 sg="No. 122" rho_g_cm3=3.3 pbc="T T T"
Mg 4.586 4.817 4.699
Mg 7.643 7.412 4.699
Mg 4.355 1.529 1.566
Mg 1.760 4.586 1.566
Ni 3.057 3.057 0.000
Ni 3.057 6.114 3.133
Te 0.000 0.000 0.000
Te 6.114 3.057 3.133

---

6.
4
Lattice="6.723 0.079 0.000 4.395 5.088 0.000 -5.559 -2.584 2.761" Properties=species:S:1:pos:R:3 comment="MgNiTe2 | the Alexandria database | PBE | relaxed" formation_energy_uncorrected_ev_per_atom=0.046 sg="No. 119" rho_g_cm3=6.0 pbc="T T T"
Ni 3.361 0.040 1.381
Mg 5.559 2.584 0.000
Te 2.198 2.544 1.381
Te 0.000 0.000 0.000

---

7.
4
Lattice="-3.991 1.817 1.990 -0.572 -0.109 4.780 0.223 4.082 2.545" Properties=species:S:1:pos:R:3 comment="Mg2NiTe | the Alexandria database | PBE | relaxed" formation_energy_uncorrected_ev_per_atom=0.073 sg="No. 216" rho_g_cm3=4.9 pbc="T T T"
Ni -2.170 2.895 4.658
Te -3.255 4.342 6.987
Mg 0.000 0.000 0.000
Mg -1.085 1.447 2.329

---

8.
4
Lattice="3.743 0.000 0.000 0.000 3.739 0.000 0.000 0.000 5.783" Properties=species:S:1:pos:R:3 comment="Mg2NiTe | the Alexandria database | PBE | relaxed" formation_energy_uncorrected_ev_per_atom=-0.089 sg="No. 99" rho_g_cm3=4.8 pbc="T T T"
Ni 0.000 0.000 2.599
Mg 1.872 1.869 1.668
Mg 0.000 0.000 5.768
Te 1.872 1.869 4.422

---

9.
4
Lattice="5.495 0.013 0.000 2.467 4.910 0.000 -3.981 -2.461 2.878" Properties=species:S:1:pos:R:3 comment="Mg2NiTe | the Alexandria database | PBE | relaxed" formation_energy_uncorrected_ev_per_atom=-0.056 sg="No. 119" rho_g_cm3=5.0 pbc="T T T"
Te 2.747 0.007 1.439
Mg 1.234 2.455 1.439
Mg 0.000 0.000 0.000
Ni 3.981 2.461 0.000

---

10.
4
Lattice="-0.487 -7.324 2.650 2.444 -5.667 4.778 -1.355 -5.044 5.799" Properties=species:S:1:pos:R:3 comment="MgNiTe2 | the Alexandria database | PBE | relaxed" formation_energy_uncorrected_ev_per_atom=-0.178 sg="No. 160" rho_g_cm3=5.5 pbc="T T T"
Te 0.138 -4.151 3.044
Te 0.024 -0.726 0.533
Mg 0.292 -8.755 6.421
Ni 0.447 -13.421 9.843

---

11.
4
Lattice="-0.598 -5.254 0.270 2.991 -3.975 1.812 -1.143 -1.287 3.727" Properties=species:S:1:pos:R:3 comment="Mg2NiTe | the Alexandria database | PBE | relaxed" formation_energy_uncorrected_ev_per_atom=-0.080 sg="No. 139" rho_g_cm3=5.2 pbc="T T T"
Mg 0.626 -5.259 2.904
Mg 2.392 -9.228 2.084
Te 0.313 -2.629 1.452
Ni 0.938 -7.887 4.357

---

12.
4
Lattice="5.010 0.000 0.000 2.505 4.338 0.000 2.505 1.446 4.090" Properties=species:S:1:pos:R:3 comment="MgNiTe2 | the Alexandria database | PBE | relaxed" formation_energy_uncorrected_ev_per_atom=0.347 sg="No. 216" rho_g_cm3=6.3 pbc="T T T"
Mg 5.010 2.892 2.045
Ni 7.514 4.338 3.068
Te 2.505 1.446 1.023
Te 0.000 0.000 0.000